Computed, not measured: a crystal of RbFeIrAu2 relaxed with PBEsol at the meta-GGA SCAN level of DFT.

Summary:
* DFT formation energy: 0.674 eV per atom
* space group: P4/mmm, No. 123
* crystal system: tetragonal

Unit cell a=4.960 b=4.960 c=4.384 alpha=90.00 beta=90.00 gamma=90.00
Atoms (fractional coordinates):
Rb 0.000 0.000 0.000
Fe 0.500 0.500 0.500
Ir 0.500 0.500 0.000
Au 0.000 0.500 0.500
Au 0.500 0.000 0.500

---

Computed, not measured: a crystal of KFeAu relaxed with PBEsol at the meta-GGA SCAN level of DFT.

Summary:
* DFT formation energy: 0.195 eV per atom
* space group: Imm2, No. 44
* energy relative to the lowest polymorph listed for this composition: 0.0 meV/atom
* crystal system: orthorhombic

Unit cell a=2.788 b=4.223 c=11.665 alpha=90.00 beta=90.00 gamma=90.00
Atoms (fractional coordinates):
K 0.000 0.000 0.000
K 0.500 0.500 0.500
Fe 0.000 0.000 0.267
Fe 0.500 0.500 0.767
Au 0.000 0.000 0.724
Au 0.500 0.500 0.224

---

Computed, not measured: a crystal of KFeAu relaxed with PBEsol at the meta-GGA SCAN level of DFT.

Summary:
* DFT formation energy: 0.197 eV per atom
* space group: I4mm, No. 107
* energy relative to the lowest polymorph listed for this composition: 2.2 meV/atom
* crystal system: tetragonal

Unit cell a=3.493 b=3.493 c=11.836 alpha=90.00 beta=90.00 gamma=90.00
Atoms (fractional coordinates):
K 0.000 0.000 0.000
K 0.500 0.500 0.500
Fe 0.000 0.000 0.733
Fe 0.500 0.500 0.233
Au 0.000 0.000 0.279
Au 0.500 0.500 0.779

---

Computed, not measured: a crystal of KFeAu relaxed with PBEsol at the meta-GGA SCAN level of DFT.

Summary:
* DFT formation energy: 1.132 eV per atom
* space group: F-43m, No. 216
* energy relative to the lowest polymorph listed for this composition: 937.6 meV/atom
* crystal system: cubic

Unit cell a=6.935 b=6.935 c=6.935 alpha=90.00 beta=90.00 gamma=90.00
Atoms (fractional coordinates):
K 0.000 0.000 0.000
K 0.000 0.500 0.500
K 0.500 0.000 0.500
K 0.500 0.500 0.000
Fe 0.250 0.250 0.250
Fe 0.250 0.750 0.750
Fe 0.750 0.250 0.750
Fe 0.750 0.750 0.250
Au 0.250 0.250 0.750
Au 0.250 0.750 0.250
Au 0.750 0.250 0.250
Au 0.750 0.750 0.750

---

Computed, not measured: a crystal of K2FeAu relaxed with PBEsol at the meta-GGA SCAN level of DFT.

Summary:
* DFT formation energy: 0.415 eV per atom
* space group: F-43m, No. 216
* crystal system: cubic

Unit cell a=7.315 b=7.315 c=7.315 alpha=90.00 beta=90.00 gamma=90.00
Atoms (fractional coordinates):
K 0.000 0.000 0.000
K 0.000 0.500 0.500
K 0.250 0.250 0.250
K 0.250 0.750 0.750
K 0.500 0.000 0.500
K 0.500 0.500 0.000
K 0.750 0.250 0.750
K 0.750 0.750 0.250
Fe 0.000 0.000 0.500
Fe 0.000 0.500 0.000
Fe 0.500 0.000 0.000
Fe 0.500 0.500 0.500
Au 0.250 0.250 0.750
Au 0.250 0.750 0.250
Au 0.750 0.250 0.250
Au 0.750 0.750 0.750

---

Computed, not measured: a crystal of KFeAu2 relaxed with PBEsol at the meta-GGA SCAN level of DFT.

Summary:
* DFT formation energy: -0.027 eV per atom
* space group: Pmmm, No. 47
* crystal system: orthorhombic

Unit cell a=2.792 b=3.610 c=7.863 alpha=90.00 beta=90.00 gamma=90.00
Atoms (fractional coordinates):
K 0.000 0.000 0.000
Fe 0.000 0.000 0.500
Au 0.500 0.500 0.318
Au 0.500 0.500 0.682

---

Computed, not measured: a crystal of KFeAu4 relaxed with PBEsol at the meta-GGA SCAN level of DFT.

Summary:
* DFT formation energy: 0.075 eV per atom
* space group: F-43m, No. 216
* crystal system: cubic

Unit cell a=5.489 b=5.489 c=5.489 alpha=60.00 beta=60.00 gamma=60.00
Atoms (fractional coordinates):
K 0.000 0.000 0.000
Fe 0.250 0.250 0.250
Au 0.126 0.625 0.625
Au 0.625 0.126 0.625
Au 0.625 0.625 0.126
Au 0.625 0.625 0.625

---

Computed, not measured: a crystal of KFeAu2 relaxed with PBEsol at the meta-GGA SCAN level of DFT.

Summary:
* DFT formation energy: 0.144 eV per atom
* space group: Cm, No. 8
* crystal system: monoclinic

Unit cell a=9.284 b=2.782 c=6.642 alpha=90.00 beta=95.14 gamma=90.00
Atoms (fractional coordinates):
K 0.000 0.000 0.000
K 0.500 0.500 0.000
Fe 0.272 0.500 0.371
Fe 0.772 0.000 0.371
Au 0.006 0.500 0.467
Au 0.242 0.000 0.699
Au 0.506 0.000 0.467
Au 0.742 0.500 0.699

---

Computed, not measured: a crystal of KFe3Au relaxed with PBEsol at the meta-GGA SCAN level of DFT.

Summary:
* DFT formation energy: 0.855 eV per atom
* space group: Pm-3m, No. 221
* crystal system: cubic

Unit cell a=4.850 b=4.850 c=4.850 alpha=90.00 beta=90.00 gamma=90.00
Atoms (fractional coordinates):
K 0.000 0.000 0.000
Fe 0.000 0.500 0.500
Fe 0.500 0.000 0.500
Fe 0.500 0.500 0.000
Au 0.500 0.500 0.500

---

Computed, not measured: a crystal of LaFeAu2 relaxed with PBEsol at the meta-GGA SCAN level of DFT.

Summary:
* DFT formation energy: -0.270 eV per atom
* space group: P4mm, No. 99
* crystal system: tetragonal

Unit cell a=3.467 b=3.467 c=6.620 alpha=90.00 beta=90.00 gamma=90.00
Atoms (fractional coordinates):
La 0.000 0.000 0.000
Fe 0.500 0.500 0.688
Au 0.000 0.000 0.526
Au 0.500 0.500 0.289

---

Computed, not measured: a crystal of La2Fe2Au relaxed with PBEsol at the meta-GGA SCAN level of DFT.

Summary:
* DFT formation energy: -0.130 eV per atom
* space group: I4/mmm, No. 139
* crystal system: tetragonal

Unit cell a=3.456 b=3.456 c=17.647 alpha=90.00 beta=90.00 gamma=90.00
Atoms (fractional coordinates):
La 0.000 0.000 0.116
La 0.000 0.000 0.884
La 0.500 0.500 0.384
La 0.500 0.500 0.616
Fe 0.000 0.500 0.250
Fe 0.000 0.500 0.750
Fe 0.500 0.000 0.250
Fe 0.500 0.000 0.750
Au 0.000 0.000 0.500
Au 0.500 0.500 0.000

---

Computed, not measured: a crystal of LaFe2Au relaxed with PBEsol at the meta-GGA SCAN level of DFT.

Summary:
* DFT formation energy: 0.226 eV per atom
* space group: I4/mmm, No. 139
* crystal system: tetragonal

Unit cell a=4.221 b=4.221 c=7.703 alpha=90.00 beta=90.00 gamma=90.00
Atoms (fractional coordinates):
La 0.000 0.000 0.000
La 0.500 0.500 0.500
Fe 0.000 0.500 0.250
Fe 0.000 0.500 0.750
Fe 0.500 0.000 0.250
Fe 0.500 0.000 0.750
Au 0.000 0.000 0.500
Au 0.500 0.500 0.000

---

In order of appearance, theoretical density = 11.2 7.1 6.7 5.8 5.6 10.2 12.5 9.5 5.9 12.3 9.2 10.8 g/cm3.